# YIn3C

YIn3C after structural relaxation (GGA-PBEsol, Alexandria via LeMat-Bulk).

Geometry as CIF:
```
data_YIn3C
_chemical_formula_sum 'Y1 In3 C1'
_cell_length_a 4.762
_cell_length_b 4.762
_cell_length_c 4.762
_cell_angle_alpha 90.00
_cell_angle_beta 90.00
_cell_angle_gamma 90.00
_symmetry_space_group_name_H-M 'P m -3 m'
_symmetry_Int_Tables_number 221
_symmetry_space_group_name_Hall '-P 4 2 3'
loop_
_atom_site_label
_atom_site_fract_x
_atom_site_fract_y
_atom_site_fract_z
Y1 0.000 0.000 0.000
In1 0.000 0.500 0.500
C1 0.500 0.500 0.500
```

## Properties
Fermi-level density of states (states/eV/cell): 3.44
Calculated total energy (eV/cell): -22.523
Formation energy from the elements (eV/atom): 0.578